Record 1
Here is a geometry-optimized Re7Se6 structure from the Alexandria database. Energies are from PBE.

Properties
The volume is 265.3 Å³/cell. Its density of states at the Fermi level is 0.948 states/eV per atom. As for the total magnetization: 0.3 μB per formula unit. As for the space-group type: R-3m, No. 166. The raw formation energy is 7.37 eV per formula unit.

abc: 11.4258 11.4258 11.4258
angles: 26.69 26.69 26.69
Site moments in Bohr magnetons follow the coordinates.
Sites, in units of the cell vectors:
Se 0.0722 0.0722 0.0722  -0.01
Re 0.5964 0.0935 0.5964  -0.03
Re 0.4036 0.9065 0.4036  -0.03
Se 0.6331 0.6331 0.6331  0.00
Se 0.8250 0.8250 0.8250  0.00
Re 0.5964 0.5964 0.0935  -0.03
Re 0.0935 0.5964 0.5964  -0.03
Re 0.5000 0.5000 0.5000  0.51
Re 0.9065 0.4036 0.4036  -0.03
Se 0.1750 0.1750 0.1750  0.00
Se 0.9278 0.9278 0.9278  -0.01
Se 0.3669 0.3669 0.3669  0.00
Re 0.4036 0.4036 0.9065  -0.03

---

Record 2
Here is a geometry-optimized Sr3HgAs2Pd9 structure from the Alexandria database. Energies are from PBE.

Properties
The volume is 350.9 Å³/cell. Its density of states at the Fermi level is 0.302 states/eV per atom. Its raw total energy is -4.49 eV/atom. As for the total magnetization: 0.0 μB per formula unit. As for the space-group type: P-3m1, No. 164.

abc: 6.9701 6.9701 8.3405
angles: 90.00 90.00 120.00
Sites, in units of the cell vectors:
Sr 0.6667 0.3333 0.3023
Sr 0.3333 0.6667 0.6977
Pd 0.1997 0.3993 0.3790
Pd 0.1997 0.8003 0.3790
Pd 0.8003 0.6007 0.6210
As 0.3333 0.6667 0.1595
Pd 0.5000 0.0000 0.0000
Sr 0.0000 0.0000 0.0000
Pd 0.8003 0.1997 0.6210
Pd 0.5000 0.5000 0.0000
Pd 0.6007 0.8003 0.3790
As 0.6667 0.3333 0.8405
Pd 0.3993 0.1997 0.6210
Hg 0.0000 0.0000 0.5000
Pd 0.0000 0.5000 0.0000

---

Which value of total magnetization does entry 1 give? 0.3 μB per formula unit

---

What is the total magnetization in the first record? 0.3 μB per formula unit

---

Copy entry 2 word for word.
Here is a geometry-optimized Sr3HgAs2Pd9 structure from the Alexandria database. Energies are from PBE.

Properties
The volume is 350.9 Å³/cell. Its density of states at the Fermi level is 0.302 states/eV per atom. Its raw total energy is -4.49 eV/atom. As for the total magnetization: 0.0 μB per formula unit. As for the space-group type: P-3m1, No. 164.

abc: 6.9701 6.9701 8.3405
angles: 90.00 90.00 120.00
Sites, in units of the cell vectors:
Sr 0.6667 0.3333 0.3023
Sr 0.3333 0.6667 0.6977
Pd 0.1997 0.3993 0.3790
Pd 0.1997 0.8003 0.3790
Pd 0.8003 0.6007 0.6210
As 0.3333 0.6667 0.1595
Pd 0.5000 0.0000 0.0000
Sr 0.0000 0.0000 0.0000
Pd 0.8003 0.1997 0.6210
Pd 0.5000 0.5000 0.0000
Pd 0.6007 0.8003 0.3790
As 0.6667 0.3333 0.8405
Pd 0.3993 0.1997 0.6210
Hg 0.0000 0.0000 0.5000
Pd 0.0000 0.5000 0.0000

---

What is the formula in the first record? Re7Se6